1.
# GGA-PBE Ta2IrW, optimized geometry
data_Ta2IrW
_symmetry_space_group_name_H-M 'P m m m'
_symmetry_Int_Tables_number 47
_symmetry_space_group_name_Hall '-P 2 2'
_cell_length_a 3.3930
_cell_length_b 4.3376
_cell_length_c 4.5362
_cell_angle_alpha 90.00
_cell_angle_beta 90.00
_cell_angle_gamma 90.00
loop_
_atom_site_label
_atom_site_type_symbol
_atom_site_fract_x
_atom_site_fract_y
_atom_site_fract_z
_atom_site_occupancy
Ta1 Ta 0.0000 0.0000 0.0000 1
Ta2 Ta 0.5000 0.0000 0.5000 1
Ir1 Ir 0.0000 0.5000 0.5000 1
W1 W 0.5000 0.5000 0.0000 1
# Energy above the most stable polymorph in this dataset ... 0.66 eV per formula unit
# Formation energy from the elements ... -0.65 eV/f.u.



2.
# GGA-PBE SrMoRh2, optimized geometry
data_SrMoRh2
_symmetry_space_group_name_H-M 'I m m 2'
_symmetry_Int_Tables_number 44
_symmetry_space_group_name_Hall 'I 2 -2'
_cell_length_a 2.8970
_cell_length_b 4.8245
_cell_length_c 10.6151
_cell_angle_alpha 90.00
_cell_angle_beta 90.00
_cell_angle_gamma 90.00
loop_
_atom_site_label
_atom_site_type_symbol
_atom_site_fract_x
_atom_site_fract_y
_atom_site_fract_z
_atom_site_occupancy
Sr1 Sr 0.0000 0.0000 0.0000 1
Mo1 Mo 0.0000 0.5000 0.7870 1
Rh1 Rh 0.0000 0.0000 0.4960 1
Rh2 Rh 0.0000 0.5000 0.2227 1
# Energy above the most stable polymorph in this dataset ... 1.18 eV per formula unit
# Formation energy from the elements ... 1.26 eV/f.u.



3.
# GGA-PBE Ac2Ga4Ag3Pb, optimized geometry
data_Ac2Ga4Ag3Pb
_symmetry_space_group_name_H-M 'P -4 m 2'
_symmetry_Int_Tables_number 115
_symmetry_space_group_name_Hall 'P -4 -2'
_cell_length_a 4.5911
_cell_length_b 4.5911
_cell_length_c 11.2737
_cell_angle_alpha 90.00
_cell_angle_beta 90.00
_cell_angle_gamma 90.00
loop_
_atom_site_label
_atom_site_type_symbol
_atom_site_fract_x
_atom_site_fract_y
_atom_site_fract_z
_atom_site_occupancy
Ac1 Ac 0.0000 0.5000 0.2373 1
Ga1 Ga 0.0000 0.0000 0.0000 1
Ga2 Ga 0.0000 0.5000 0.6511 1
Ga3 Ga 0.5000 0.5000 0.0000 1
Ag1 Ag 0.0000 0.5000 0.8783 1
Ag2 Ag 0.5000 0.5000 0.5000 1
Pb1 Pb 0.0000 0.0000 0.5000 1
# Formation energy from the elements ... -3.72 eV/f.u.



Q: Which formula does entry 2 have?
A: SrMoRh2



Q: Among the records above, which one has the highest formation energy from the elements?
A: SrMoRh2



Q: Which value of formation energy from the elements does entry 3 give?
A: -3.72 eV/f.u.